[1]
Here is a relaxed PrEu2Au crystal from Alexandria via LeMat-Bulk. Energies are from GGA-PBE.

The value obtained for the energy relative to the elements is -0.35 eV/atom.

The space group is P4/mmm (No. 123) and the conventional cell measures 3.7602, 3.7602 and 9.2062 Å, with angles of 90.00, 90.00 and 90.00 degrees. The asymmetric unit holds Pr at (0.0000, 0.0000, 0.0000), Eu at (0.5000, 0.5000, 0.3042) and Au at (0.0000, 0.0000, 0.5000).



[2]
Here is a relaxed SmDy3N4 crystal from Alexandria via LeMat-Bulk. Energies are from GGA-PBE.

The formation energy (no corrections) is -1.6416 eV per atom.

The space group is P2/c (No. 13) and the conventional cell measures 6.0661, 7.0096 and 6.0653 Å, with angles of 90.00, 109.46 and 90.00 degrees. The asymmetric unit holds Sm at (0.0000, 0.1264, 0.2500), Dy at (0.0000, 0.3758, 0.7500), Dy at (0.5000, 0.1268, 0.7500), Dy at (0.5000, 0.3758, 0.2500), N at (0.2515, 0.3772, 0.5034) and N at (0.2554, 0.1290, 0.9989).



[3]
Here is a relaxed YSc2Ta crystal from Alexandria via LeMat-Bulk. Energies are from GGA-PBE.

The value obtained for the energy relative to the elements is 0.28 eV/atom.

The space group is P2/m (No. 10) and the conventional cell measures 3.1190, 5.1563 and 5.9517 Å, with angles of 90.00, 95.90 and 90.00 degrees. The asymmetric unit holds Y at (0.0000, 0.0000, 0.0000), Sc at (0.3012, 0.5000, 0.7215) and Ta at (0.5000, 0.0000, 0.5000).



[4]
Here is a relaxed TlTcAs crystal from Alexandria via LeMat-Bulk. Energies are from GGA-PBE.

The value obtained for the energy relative to the elements is 0.15 eV/atom.

The space group is P3m1 (No. 156) and the conventional cell measures 3.2245, 3.2245 and 6.6478 Å, with angles of 90.00, 90.00 and 120.00 degrees. The asymmetric unit holds Tl at (0.0000, 0.0000, 0.0000), Tc at (0.3333, 0.6667, 0.6527) and As at (0.6667, 0.3333, 0.4109).



[5]
Here is a relaxed YHPd2 crystal from Alexandria via LeMat-Bulk. Energies are from GGA-PBE.

The space group is I4_1/amd (No. 141, origin choice 2) and the conventional cell measures 5.6590, 5.6590 and 8.0360 Å, with angles of 90.00, 90.00 and 90.00 degrees. The asymmetric unit holds Y at (0.0000, 0.2500, 0.3750), H at (0.0000, 0.2500, 0.8750) and Pd at (0.0000, 0.0000, 0.0000).



[6]
Here is a relaxed Ce3ZrS7 crystal from Alexandria via LeMat-Bulk. Energies are from GGA-PBE.

The formation energy (no corrections) is -1.7890 eV per atom.

The space group is Cmcm (No. 63) and the conventional cell measures 9.1103, 13.0083 and 9.3168 Å, with angles of 90.00, 90.00 and 90.00 degrees. The asymmetric unit holds Ce at (0.0000, 0.0000, 0.0000), Ce at (0.2273, 0.2745, 0.2500), Zr at (0.0000, 0.5000, 0.0000), S at (0.0000, 0.1283, 0.7500), S at (0.0000, 0.1363, 0.2500), S at (0.0000, 0.4254, 0.2500) and S at (0.2141, 0.3734, 0.5327).



Total DFT energy (no corrections) (eV per atom)
-7.50; -8.12; -7.46; -5.65; -5.56; -6.81
V (Å³/cell)
130; 243; 95; 60; 257; 1104